# 1
Hf2ScC: relaxed, PBE.

It has space group I-42d (No. 122), with a = 8.064 Å, b = 8.064 Å, c = 4.599 Å, α = 90.00°, β = 90.00° and γ = 90.00°. The asymmetric unit holds Hf at (0.119, 0.250, 0.125), Sc at (0.000, 0.000, 0.500) and C at (0.000, 0.000, 0.000).

The calculation puts the calculated formation energy at 0.07 eV per atom.

***

# 2
AlTcS2N: relaxed, PBE.

It has space group P4/mmm (No. 123), with a = 4.821 Å, b = 4.821 Å, c = 3.700 Å, α = 90.00°, β = 90.00° and γ = 90.00°. The asymmetric unit holds Al at (0.000, 0.000, 0.000), Tc at (0.500, 0.500, 0.500), S at (0.000, 0.500, 0.500) and N at (0.500, 0.500, 0.000).

The calculation puts the energy relative to the lowest polymorph listed for this composition at 0.0 meV/atom.

***

# 3
BaHgTe2: relaxed, PBE.

It has space group P4/mmm (No. 123), with a = 4.996 Å, b = 4.996 Å, c = 5.363 Å, α = 90.00°, β = 90.00° and γ = 90.00°. The asymmetric unit holds Ba at (0.000, 0.000, 0.000), Hg at (0.500, 0.500, 0.000) and Te at (0.000, 0.500, 0.500).

The calculation puts the total energy at -11.470 eV for the cell shown.

***

# 4
KNbSe: relaxed, PBE.

It has space group P4/nmm (No. 129, origin choice 2), with a = 4.000 Å, b = 4.000 Å, c = 11.330 Å, α = 90.00°, β = 90.00° and γ = 90.00°. The asymmetric unit holds K at (0.250, 0.250, 0.180), Nb at (0.250, 0.750, 0.500) and Se at (0.250, 0.250, 0.660).

The calculation puts the total energy at -33.141 eV for the cell shown.

***

# 5
Ho2ErMgBi4: relaxed, PBE.

It has space group P2/m (No. 10), with a = 7.728 Å, b = 4.416 Å, c = 7.739 Å, α = 90.00°, β = 109.74° and γ = 90.00°. The asymmetric unit holds Ho at (0.000, 0.000, 0.000), Ho at (0.000, 0.500, 0.500), Er at (0.500, 0.000, 0.500), Mg at (0.500, 0.500, 0.000), Bi at (0.252, 0.500, 0.249) and Bi at (0.257, 0.000, 0.756).

The calculation puts the calculated formation energy at -0.59 eV per atom.

***

# 6
Ta2ZnCr: relaxed, PBE.

It has space group R-3m (No. 166, hexagonal axes), with a = 2.8766 Å, b = 2.8766 Å, c = 27.4306 Å, α = 90.00°, β = 90.00° and γ = 120.00°. The asymmetric unit holds Ta at (0.0000, 0.0000, 0.2472), Zn at (0.0000, 0.0000, 0.0000) and Cr at (0.0000, 0.0000, 0.5000).

The calculation puts the calculated formation energy at 0.32 eV per atom.

***

# 7
Pu2TcIr: relaxed, PBE.

It has space group P4/mmm (No. 123), with a = 3.474 Å, b = 3.474 Å, c = 6.504 Å, α = 90.00°, β = 90.00° and γ = 90.00°. The asymmetric unit holds Pu at (0.000, 0.000, 0.247), Tc at (0.500, 0.500, 0.500) and Ir at (0.500, 0.500, 0.000).

The calculation puts the calculated formation energy at -0.19 eV per atom.

***

# 8
NdGe7Os2: relaxed, PBE.

It has space group Cmmm (No. 65), with a = 8.209 Å, b = 13.259 Å, c = 4.097 Å, α = 90.00°, β = 90.00° and γ = 90.00°. The asymmetric unit holds Nd at (0.000, 0.000, 0.000), Ge at (0.000, 0.227, 0.000), Ge at (0.000, 0.500, 0.500), Ge at (0.196, 0.146, 0.500) and Os at (0.000, 0.322, 0.500).

The calculation puts the calculated formation energy at 0.13 eV per atom.

***

# 9
Cs3NaBr2Cl6: relaxed, PBE.

It has space group P-3m1 (No. 164), with a = 8.1879 Å, b = 8.1879 Å, c = 9.7129 Å, α = 90.00°, β = 90.00° and γ = 120.00°. The asymmetric unit holds Cs at (0.0000, 0.0000, 0.0000), Cs at (0.3333, 0.6667, 0.6547), Na at (0.0000, 0.0000, 0.5000), Br at (0.3333, 0.6667, 0.2838) and Cl at (0.1359, 0.2717, 0.2954).

The calculation puts the total energy at -30.731 eV for the cell shown.

***

# 10
LiSc2Ru: relaxed, PBE.

It has space group C2/m (No. 12), with a = 7.481 Å, b = 3.171 Å, c = 7.050 Å, α = 90.00°, β = 95.75° and γ = 90.00°. The asymmetric unit holds Li at (0.000, 0.000, 0.000), Sc at (0.237, 0.000, 0.699) and Ru at (0.000, 0.500, 0.500).

The calculation puts the energy relative to the lowest polymorph listed for this composition at 281.6 meV/atom. The calculation puts the calculated formation energy at -0.08 eV per atom.

***

# 11
Tb9ErTm2: relaxed, PBE.

It has space group P4/mmm (No. 123), with a = 5.002 Å, b = 5.002 Å, c = 15.006 Å, α = 90.00°, β = 90.00° and γ = 90.00°. The asymmetric unit holds Tb at (0.000, 0.000, 0.000), Tb at (0.000, 0.000, 0.334), Tb at (0.000, 0.500, 0.167), Tb at (0.000, 0.500, 0.500), Er at (0.500, 0.500, 0.000) and Tm at (0.500, 0.500, 0.334).

The calculation puts the energy relative to the lowest polymorph listed for this composition at 0.0 meV/atom. The calculation puts the calculated formation energy at 0.02 eV per atom.

***

# 12
MnReP2: relaxed, PBE.

It has space group Fm-3m (No. 225), with a = 5.774 Å, b = 5.774 Å, c = 5.774 Å, α = 90.00°, β = 90.00° and γ = 90.00°. The asymmetric unit holds Mn at (0.000, 0.000, 0.000), Re at (0.000, 0.000, 0.500) and P at (0.250, 0.250, 0.250).

The calculation puts the energy relative to the lowest polymorph listed for this composition at 77.0 meV/atom. The calculation puts the calculated formation energy at -0.19 eV per atom.

***

# 13
TbPrMnCd: relaxed, PBE.

It has space group F-43m (No. 216), with a = 7.470 Å, b = 7.470 Å, c = 7.470 Å, α = 90.00°, β = 90.00° and γ = 90.00°. The asymmetric unit holds Tb at (0.000, 0.000, 0.000), Pr at (0.000, 0.000, 0.500), Mn at (0.250, 0.250, 0.750) and Cd at (0.250, 0.250, 0.250).

The calculation puts the calculated formation energy at 0.01 eV per atom.

***

# 14
Nd2Sm3Ho: relaxed, PBE.

It has space group Pnnm (No. 58), with a = 6.762 Å, b = 17.869 Å, c = 3.420 Å, α = 90.00°, β = 90.00° and γ = 90.00°. The asymmetric unit holds Nd at (0.236, 0.150, 0.000), Sm at (0.000, 0.000, 0.500), Sm at (0.241, 0.322, 0.500) and Ho at (0.000, 0.500, 0.500).

The calculation puts the energy relative to the lowest polymorph listed for this composition at 74.2 meV/atom. The calculation puts the calculated formation energy at 0.25 eV per atom.

***

# 15
KMgTaAl: relaxed, PBE.

It has space group Cm (No. 8), with a = 5.157 Å, b = 3.148 Å, c = 11.197 Å, α = 90.00°, β = 96.65° and γ = 90.00°. The asymmetric unit holds K at (0.000, 0.000, 0.000), Mg at (0.061, 0.500, 0.700), Ta at (0.145, 0.000, 0.475) and Al at (0.439, 0.000, 0.271).

The calculation puts the energy relative to the lowest polymorph listed for this composition at 91.4 meV/atom. The calculation puts the calculated formation energy at 0.40 eV per atom.

***

# 16
PrAl3Rh2: relaxed, PBE.

It has space group Cmcm (No. 63), with a = 9.882 Å, b = 7.923 Å, c = 5.636 Å, α = 90.00°, β = 90.00° and γ = 90.00°. The asymmetric unit holds Pr at (0.000, 0.146, 0.250), Al at (0.000, 0.458, 0.750), Al at (0.185, 0.221, 0.750) and Rh at (0.209, 0.500, 0.000).

The calculation puts the calculated formation energy at -0.85 eV per atom.

***

# 17
Ag3RhS: relaxed, PBE.

It has space group Pm-3m (No. 221), with a = 5.014 Å, b = 5.014 Å, c = 5.014 Å, α = 90.00°, β = 90.00° and γ = 90.00°. The asymmetric unit holds Ag at (0.000, 0.000, 0.500), Rh at (0.000, 0.000, 0.000) and S at (0.500, 0.500, 0.500).

The calculation puts the energy relative to the lowest polymorph listed for this composition at 508.9 meV/atom.

***

# 18
LaW: relaxed, PBE.

It has space group P4/mmm (No. 123), with a = 2.871 Å, b = 2.871 Å, c = 5.429 Å, α = 90.00°, β = 90.00° and γ = 90.00°. The asymmetric unit holds La at (0.000, 0.000, 0.000) and W at (0.500, 0.500, 0.500).

The calculation puts the energy relative to the lowest polymorph listed for this composition at 560.2 meV/atom. The calculation puts the calculated formation energy at 0.90 eV per atom.

***

| no. | calculated volume (Å³/cell) |
| --- | --- |
| 1 | 299.0 |
| 2 | 86.0 |
| 3 | 133.9 |
| 4 | 181.3 |
| 5 | 248.5 |
| 6 | 196.6 |
| 7 | 78.5 |
| 8 | 445.9 |
| 9 | 563.9 |
| 10 | 166.4 |
| 11 | 375.5 |
| 12 | 192.5 |
| 13 | 416.9 |
| 14 | 413.2 |
| 15 | 180.6 |
| 16 | 441.3 |
| 17 | 126.1 |
| 18 | 44.8 |